[1]
# AlRe4Si

A geometry-optimized AlRe4Si structure (PBE-GGA, the Alexandria database).

Values from the calculation:
Energy relative to the elements, uncorrected: 0.569 eV per atom
Total energy: -55.543 eV/cell
Space-group type: F-43m, No. 216
Density: 13.58 g/cm³

Cell lengths 5.1716, 5.1716, 5.1716 Å; angles 60.00, 60.00, 60.00 degrees
With the nearest neighbours (Å) after each atom.
Positions (direct):
Al 0.0000 0.0000 0.0000  12 Re 3.03, 4 Si 3.17
Re 0.1252 0.6249 0.6249  6 Re 2.58-2.59
Re 0.6249 0.1252 0.6249  6 Re 2.58-2.59
Re 0.6249 0.6249 0.1252  6 Re 2.58-2.59
Re 0.6249 0.6249 0.6249  6 Re 2.58-2.59
Si 0.2500 0.2500 0.2500  12 Re 3.03, 4 Al 3.17



[2]
# ZnCr2Br2

A geometry-optimized ZnCr2Br2 structure (PBE-GGA, the Alexandria database).

Values from the calculation:
Energy relative to the elements, uncorrected: 0.488 eV per atom
Total energy: -21.425 eV/cell
Space-group type: I4/mmm, No. 139
Energy above the lowest structure with this stoichiometry: 0.00 eV per formula unit
Density: 5.19 g/cm³

Cell lengths 5.3772, 5.3772, 5.3772 Å; angles 122.52, 122.52, 85.69 degrees
With the nearest neighbours (Å) after each atom.
Positions (direct):
Zn 0.0000 0.0000 0.0000  2 Cr 3.09, 8 Br 3.25
Cr 0.3919 0.3919 0.0000  1 Cr 1.70
Cr 0.6081 0.6081 0.0000  1 Cr 1.70
Br 0.2500 0.7500 0.5000  4 Cr 2.82
Br 0.7500 0.2500 0.5000  4 Cr 2.82



[3]
# LiPr6Co

A geometry-optimized LiPr6Co structure (PBE-GGA, the Alexandria database).

Values from the calculation:
Total energy: -36.357 eV/cell
Space-group type: R-3, No. 148
Density: 5.68 g/cm³
Energy of formation: 129 kJ/mol of formula units

Cell lengths 7.6924, 7.6924, 7.6924 Å; angles 52.69, 52.69, 52.69 degrees
With the nearest neighbours (Å) after each atom.
Positions (direct):
Li 0.0000 0.0000 0.0000  6 Pr 3.03
Pr 0.0829 0.4561 0.7128  1 Co 2.71, 1 Li 3.03
Pr 0.2872 0.9171 0.5439  1 Co 2.71, 1 Li 3.03
Pr 0.4561 0.7127 0.0829  1 Co 2.71, 1 Li 3.03
Pr 0.5439 0.2872 0.9171  1 Co 2.71, 1 Li 3.03
Pr 0.7128 0.0829 0.4561  1 Co 2.71, 1 Li 3.03
Pr 0.9171 0.5439 0.2872  1 Co 2.71, 1 Li 3.03
Co 0.5000 0.5000 0.5000  6 Pr 2.71



[4]
# TmScCdPd

A geometry-optimized TmScCdPd structure (PBE-GGA, the Alexandria database).

Values from the calculation:
Total energy: -19.099 eV/cell
Space-group type: F-43m, No. 216
Energy above the lowest structure with this stoichiometry: 0.23 eV per formula unit
Density: 8.36 g/cm³
Energy of formation: -211 kJ/mol of formula units

Cell lengths 4.9533, 4.9533, 4.9533 Å; angles 60.00, 60.00, 60.00 degrees
With the nearest neighbours (Å) after each atom.
Positions (direct):
Tm 0.0000 0.0000 0.0000  4 Pd 3.03, 4 Cd 3.03
Sc 0.5000 0.5000 0.5000  4 Pd 3.03, 4 Cd 3.03
Cd 0.2500 0.2500 0.2500  4 Sc 3.03, 4 Tm 3.03
Pd 0.7500 0.7500 0.7500  4 Sc 3.03, 4 Tm 3.03



DOS at the Fermi energy
In order: 0.765; 0.053; 1.259; 0.556
Unit: states/eV/atom
Size of the total moment
In order: 0.015; 0.000; 0.000; 0.000
Unit: μB/cell